Material: CaSi4NiO10
Method: DFT, PBE+U
State: optimized geometry

Calculated values
Volume ... 841 Å³/cell
Total magnetization ... 7.91 μB per cell
Final energy ... -7.3354 eV/atom

Lattice parameters (Å, degrees): 7.386 7.386 15.414 90.00 90.00 90.00
Fractional positions:
Ca  0.250  0.750  0.000
Ca  0.250  0.750  0.500
Ca  0.750  0.250  0.000
Ca  0.750  0.250  0.500
Si  0.001  0.075  0.148
Si  0.001  0.425  0.648
Si  0.075  0.001  0.648
Si  0.075  0.499  0.148
Si  0.425  0.001  0.148
Si  0.425  0.499  0.648
Si  0.499  0.075  0.648
Si  0.499  0.425  0.148
Si  0.501  0.575  0.852
Si  0.501  0.925  0.352
Si  0.575  0.501  0.352
Si  0.575  0.999  0.852
Si  0.925  0.501  0.852
Si  0.925  0.999  0.352
Si  0.999  0.575  0.352
Si  0.999  0.925  0.852
Ni  0.250  0.250  0.417
Ni  0.250  0.250  0.917
Ni  0.750  0.750  0.083
Ni  0.750  0.750  0.583
O  0.002  0.705  0.873
O  0.002  0.795  0.373
O  0.005  0.147  0.418
O  0.005  0.353  0.918
O  0.042  0.542  0.250
O  0.042  0.958  0.750
O  0.147  0.005  0.918
O  0.147  0.495  0.418
O  0.205  0.502  0.627
O  0.205  0.998  0.127
O  0.295  0.502  0.127
O  0.295  0.998  0.627
O  0.353  0.005  0.418
O  0.353  0.495  0.918
O  0.458  0.542  0.750
O  0.458  0.958  0.250
O  0.495  0.147  0.918
O  0.495  0.353  0.418
O  0.498  0.705  0.373
O  0.498  0.795  0.873
O  0.502  0.205  0.127
O  0.502  0.295  0.627
O  0.505  0.647  0.582
O  0.505  0.853  0.082
O  0.542  0.042  0.750
O  0.542  0.458  0.250
O  0.647  0.505  0.082
O  0.647  0.995  0.582
O  0.705  0.002  0.373
O  0.705  0.498  0.873
O  0.795  0.002  0.873
O  0.795  0.498  0.373
O  0.853  0.505  0.582
O  0.853  0.995  0.082
O  0.958  0.042  0.250
O  0.958  0.458  0.750
O  0.995  0.647  0.082
O  0.995  0.853  0.582
O  0.998  0.205  0.627
O  0.998  0.295  0.127